No. 1
Here is crystalline LiP2Cl at its relaxed geometry from the Alexandria database. Energies are from GGA-PBE.

Cell lengths 8.336, 8.336, 8.336 Å; angles 20.92, 20.92, 20.92 degrees
Fractional positions:
Li 0.000 0.000 0.000
P 0.253 0.253 0.253
P 0.747 0.747 0.747
Cl 0.500 0.500 0.500

Summary:
Energy above the most stable polymorph in this dataset: 1.209 eV per atom
Raw formation energy: 0.4855 eV per atom
Density of states at the Fermi level: 1.8 states/eV/cell
E_tot: -12.64 eV/f.u.
Volume: 16.17 Å³/atom


No. 2
Here is crystalline ErSc2AgN at its relaxed geometry from the Alexandria database. Energies are from GGA-PBE.

Cell lengths 4.418, 4.418, 4.811 Å; angles 90.00, 90.00, 90.00 degrees
Fractional positions:
Er 0.000 0.000 0.000
Sc 0.000 0.500 0.500
Sc 0.500 0.000 0.500
Ag 0.500 0.500 0.000
N 0.000 0.000 0.500

Summary:
Raw formation energy: -0.8613 eV per atom
Density of states at the Fermi level: 6.2 states/eV/cell
E_tot: -32.71 eV/f.u.
Volume: 18.79 Å³/atom


No. 3
Here is crystalline Sm4Ni3Au at its relaxed geometry from the Alexandria database. Energies are from GGA-PBE.

Cell lengths 3.819, 4.489, 10.459 Å; angles 90.00, 90.00, 90.00 degrees
Fractional positions:
Sm 0.000 0.000 0.000
Sm 0.000 0.500 0.264
Sm 0.500 0.000 0.476
Sm 0.500 0.500 0.771
Ni 0.000 0.500 0.545
Ni 0.500 0.000 0.200
Ni 0.500 0.500 0.057
Au 0.000 0.000 0.703

Summary:
Energy relative to the elements: -0.46 eV per atom
Density of states at the Fermi level: 6.3 states/eV/cell
E_tot: -43.20 eV/f.u.
Volume: 22.42 Å³/atom


No. 4
Here is crystalline Ca3Ac3La5 at its relaxed geometry from the Alexandria database. Energies are from GGA-PBE.

Cell lengths 10.097, 10.097, 5.940 Å; angles 90.00, 90.00, 120.00 degrees
Fractional positions:
Ca 0.000 0.225 0.000
Ca 0.225 0.000 0.000
Ca 0.775 0.775 0.000
Ac 0.000 0.449 0.500
Ac 0.449 0.000 0.500
Ac 0.551 0.551 0.500
La 0.000 0.604 0.000
La 0.333 0.667 0.000
La 0.396 0.396 0.000
La 0.604 0.000 0.000
La 0.667 0.333 0.000

Summary:
Energy relative to the elements: 0.57 eV per atom
Density of states at the Fermi level: 16.6 states/eV/cell
E_tot: -36.71 eV/f.u.
Volume: 47.68 Å³/atom


No. 5
Here is crystalline Mg5AlAg6 at its relaxed geometry from the Alexandria database. Energies are from GGA-PBE.

Cell lengths 8.045, 8.045, 8.045 Å; angles 146.44, 130.32, 61.29 degrees
Fractional positions:
Mg 0.000 0.000 0.000
Mg 0.164 0.664 0.500
Mg 0.328 0.328 0.000
Mg 0.672 0.672 0.000
Mg 0.836 0.336 0.500
Al 0.500 0.000 0.500
Ag 0.095 0.838 0.258
Ag 0.265 0.500 0.765
Ag 0.420 0.162 0.258
Ag 0.580 0.838 0.742
Ag 0.735 0.500 0.235
Ag 0.905 0.162 0.742

Summary:
Energy relative to the elements: -0.22 eV per atom
Density of states at the Fermi level: 3.3 states/eV/cell
E_tot: -31.41 eV/f.u.
Volume: 18.11 Å³/atom


No. 6
Here is crystalline AlTl2InAu6 at its relaxed geometry from the Alexandria database. Energies are from GGA-PBE.

Cell lengths 5.496, 6.868, 7.092 Å; angles 81.73, 71.75, 68.60 degrees
Fractional positions:
Al 0.000 0.000 0.000
Tl 0.293 0.170 0.303
Tl 0.707 0.830 0.697
In 0.500 0.500 0.500
Au 0.170 0.628 0.878
Au 0.189 0.244 0.726
Au 0.360 0.748 0.164
Au 0.640 0.252 0.836
Au 0.811 0.756 0.274
Au 0.830 0.372 0.122

Summary:
Energy relative to the elements: -0.08 eV per atom
Density of states at the Fermi level: 3.9 states/eV/cell
E_tot: -31.63 eV/f.u.
Volume: 23.66 Å³/atom


No. 7
Here is crystalline La2CoGeMo at its relaxed geometry from the Alexandria database. Energies are from GGA-PBE.

Cell lengths 5.752, 5.752, 4.294 Å; angles 90.00, 90.00, 90.00 degrees
Fractional positions:
La 0.000 0.500 0.000
La 0.500 0.000 0.000
Co 0.000 0.000 0.500
Ge 0.000 0.000 0.000
Mo 0.500 0.500 0.500

Summary:
Energy relative to the elements: 0.67 eV per atom
Density of states at the Fermi level: 4.3 states/eV/cell
E_tot: -29.08 eV/f.u.
Volume: 28.42 Å³/atom


No. 8
Here is crystalline PuFeNi at its relaxed geometry from the Alexandria database. Energies are from GGA-PBE.

Cell lengths 5.498, 5.498, 4.767 Å; angles 90.00, 90.00, 136.65 degrees
Fractional positions:
Pu 0.213 0.787 0.750
Pu 0.787 0.213 0.250
Fe 0.500 0.500 0.000
Fe 0.500 0.500 0.500
Ni 0.062 0.938 0.250
Ni 0.938 0.062 0.750

Summary:
Energy relative to the elements: 0.10 eV per atom
Energy above the most stable polymorph in this dataset: 0.283 eV per atom
Density of states at the Fermi level: 19.9 states/eV/cell
E_tot: -28.29 eV/f.u.
Volume: 16.49 Å³/atom


No. 9
Here is crystalline HfBe2SbCl at its relaxed geometry from the Alexandria database. Energies are from GGA-PBE.

Cell lengths 4.065, 4.065, 5.949 Å; angles 90.00, 90.00, 90.00 degrees
Fractional positions:
Hf 0.000 0.000 0.000
Be 0.000 0.500 0.500
Be 0.500 0.000 0.500
Sb 0.500 0.500 0.000
Cl 0.500 0.500 0.500

Summary:
Raw formation energy: 0.8502 eV per atom
Density of states at the Fermi level: 1.4 states/eV/cell
E_tot: -19.12 eV/f.u.
Volume: 19.66 Å³/atom


No. 10
Here is crystalline CaPd2Au5 at its relaxed geometry from the Alexandria database. Energies are from GGA-PBE.

Cell lengths 5.873, 11.787, 4.201 Å; angles 90.00, 90.00, 90.00 degrees
Fractional positions:
Ca 0.000 0.000 0.000
Ca 0.500 0.500 0.000
Pd 0.242 0.374 0.500
Pd 0.258 0.874 0.500
Pd 0.742 0.126 0.500
Pd 0.758 0.626 0.500
Au 0.000 0.500 0.000
Au 0.002 0.750 0.000
Au 0.246 0.628 0.500
Au 0.254 0.128 0.500
Au 0.498 0.250 0.000
Au 0.500 0.000 0.000
Au 0.502 0.750 0.000
Au 0.746 0.872 0.500
Au 0.754 0.372 0.500
Au 0.998 0.250 0.000

Summary:
Energy relative to the elements: -0.33 eV per atom
Energy above the most stable polymorph in this dataset: 0.000 eV per atom
Density of states at the Fermi level: 4.6 states/eV/cell
E_tot: -31.43 eV/f.u.
Volume: 18.17 Å³/atom


No. 11
Here is crystalline Cs2ErGe2S6 at its relaxed geometry from the Alexandria database. Energies are from GGA-PBE.

Cell lengths 7.247, 7.247, 8.847 Å; angles 113.80, 113.80, 60.00 degrees
Fractional positions:
Cs 0.215 0.215 0.148
Cs 0.785 0.785 0.852
Er 0.000 0.000 0.500
Ge 0.391 0.391 0.668
Ge 0.609 0.609 0.332
S 0.239 0.239 0.726
S 0.242 0.754 0.732
S 0.246 0.758 0.268
S 0.754 0.242 0.732
S 0.758 0.246 0.268
S 0.761 0.761 0.274

Summary:
Raw formation energy: -0.9117 eV per atom
Density of states at the Fermi level: 2.8 states/eV/cell
E_tot: -50.30 eV/f.u.
Volume: 32.37 Å³/atom


No. 12
Here is crystalline ZnRe2Au at its relaxed geometry from the Alexandria database. Energies are from GGA-PBE.

Cell lengths 5.111, 5.111, 5.111 Å; angles 136.77, 136.77, 62.79 degrees
Fractional positions:
Zn 0.000 0.000 0.000
Re 0.250 0.750 0.500
Re 0.750 0.250 0.500
Au 0.500 0.500 0.000

Summary:
Energy relative to the elements: 0.49 eV per atom
Density of states at the Fermi level: 4.6 states/eV/cell
E_tot: -27.49 eV/f.u.
Volume: 15.46 Å³/atom


No. 13
Here is crystalline Ce2ZrAu at its relaxed geometry from the Alexandria database. Energies are from GGA-PBE.

Cell lengths 3.239, 3.239, 9.459 Å; angles 90.00, 90.00, 90.00 degrees
Fractional positions:
Ce 0.000 0.000 0.235
Ce 0.000 0.000 0.765
Zr 0.500 0.500 0.500
Au 0.500 0.500 0.000

Summary:
Energy relative to the elements: -0.19 eV per atom
Energy above the most stable polymorph in this dataset: 0.000 eV per atom
Density of states at the Fermi level: 9.3 states/eV/cell
E_tot: -24.47 eV/f.u.
Volume: 24.82 Å³/atom


No. 14
Here is crystalline Ba2ReTe4 at its relaxed geometry from the Alexandria database. Energies are from GGA-PBE.

Cell lengths 9.522, 9.522, 9.522 Å; angles 146.99, 146.99, 47.38 degrees
Fractional positions:
Ba 0.140 0.140 0.000
Ba 0.860 0.860 0.000
Re 0.500 0.500 0.000
Te 0.000 0.500 0.500
Te 0.339 0.339 0.000
Te 0.500 0.000 0.500
Te 0.661 0.661 0.000

Summary:
Raw formation energy: -0.6571 eV per atom
Density of states at the Fermi level: 4.9 states/eV/cell
E_tot: -33.46 eV/f.u.
Volume: 36.46 Å³/atom


No. 15
Here is crystalline PuTh2Sc3As6 at its relaxed geometry from the Alexandria database. Energies are from GGA-PBE.

Cell lengths 9.053, 9.053, 8.075 Å; angles 102.23, 102.23, 26.08 degrees
Fractional positions:
Pu 0.000 0.000 0.000
Th 0.335 0.335 0.670
Th 0.665 0.665 0.330
Sc 0.000 0.000 0.500
Sc 0.333 0.333 0.166
Sc 0.667 0.667 0.834
As 0.162 0.162 0.596
As 0.171 0.171 0.068
As 0.494 0.494 0.258
As 0.506 0.506 0.742
As 0.829 0.829 0.932
As 0.838 0.838 0.404

Summary:
Energy relative to the elements: -1.32 eV per atom
Density of states at the Fermi level: 13.5 states/eV/cell
E_tot: -91.92 eV/f.u.
Volume: 23.66 Å³/atom


No. 16
Here is crystalline Cd2TcCl at its relaxed geometry from the Alexandria database. Energies are from GGA-PBE.

Cell lengths 6.892, 6.892, 6.892 Å; angles 155.13, 138.81, 48.72 degrees
Fractional positions:
Cd 0.000 0.000 0.000
Cd 0.657 0.157 0.500
Tc 0.467 0.467 0.000
Cl 0.318 0.818 0.500

Summary:
Energy above the most stable polymorph in this dataset: 0.017 eV per atom
Raw formation energy: 0.1369 eV per atom
Density of states at the Fermi level: 2.5 states/eV/cell
E_tot: -13.50 eV/f.u.
Volume: 22.59 Å³/atom